ZnCuAg3 | PBE-GGA | relaxed

Results
As for the energy of formation from the pure elements: 0.737 eV per atom. Its space group is Pm-3m, No. 221. The value obtained for the relative energy among the computed polymorphs is 98 meV/atom. As for the total energy: -2.048 eV/atom.

abc: 4.797 4.797 4.797
angles: 90.00 90.00 90.00
Fractional coordinates of all 5 atoms:
Cu (0.500, 0.500, 0.500)
Zn (0.000, 0.000, 0.000)
Ag (0.000, 0.500, 0.000)
Ag (0.500, 0.000, 0.000)
Ag (0.000, 0.000, 0.500)